## Na3GaH6 (PBE)

Data for a relaxed structure of Na3GaH6.

## Properties
The distance to the lowest polymorph of the same formula is 0.040 eV/atom. The value obtained for the total magnetic moment is 0.00 μB per cell.

Structure (CIF):
```
data_Na3GaH6
_cell_length_a 5.3113
_cell_length_b 5.5673
_cell_length_c 9.3390
_cell_angle_alpha 90.00
_cell_angle_beta 124.51
_cell_angle_gamma 90.00
_space_group_name_H-M_alt 'P 1 21/c 1'
_space_group_IT_number 14
_space_group_name_Hall '-P 2ybc'
loop_
_atom_site_label
_atom_site_fract_x
_atom_site_fract_y
_atom_site_fract_z
Na1 0.0000 0.0000 0.0000
Na2 0.2586 0.0527 0.7465
Ga1 0.5000 0.0000 0.5000
H1 0.1774 0.0509 0.2822
H2 0.2693 0.6676 0.0446
H3 0.4077 0.2291 0.0680
```

## Na3GaH (PBE)

Data for a relaxed structure of Na3GaH.

## Properties
The value obtained for the total magnetic moment is 0.00 μB per cell. For the density of states at the Fermi level, the calculation gives 1.7 states/eV/cell.

Structure (CIF):
```
data_Na3GaH
_cell_length_a 4.7345
_cell_length_b 4.7345
_cell_length_c 4.7345
_cell_angle_alpha 90.00
_cell_angle_beta 90.00
_cell_angle_gamma 90.00
_space_group_name_H-M_alt 'P m -3 m'
_space_group_IT_number 221
_space_group_name_Hall '-P 4 2 3'
loop_
_atom_site_label
_atom_site_fract_x
_atom_site_fract_y
_atom_site_fract_z
Na1 0.0000 0.0000 0.5000
Ga1 0.5000 0.5000 0.5000
H1 0.0000 0.0000 0.0000
```

## Na2GaH (PBE)

Data for a relaxed structure of Na2GaH.

## Properties
The distance to the lowest polymorph of the same formula is 0.000 eV/atom. The value obtained for the total magnetic moment is 0.00 μB per cell. For the density of states at the Fermi level, the calculation gives 6.2 states/eV/cell.

Structure (CIF):
```
data_Na2GaH
_cell_length_a 3.2242
_cell_length_b 3.2242
_cell_length_c 26.1582
_cell_angle_alpha 90.00
_cell_angle_beta 90.00
_cell_angle_gamma 120.00
_space_group_name_H-M_alt 'R -3 m'
_space_group_IT_number 166
_space_group_name_Hall '-R 3 2"'
loop_
_atom_site_label
_atom_site_fract_x
_atom_site_fract_y
_atom_site_fract_z
Na1 0.0000 0.0000 0.1112
Ga1 0.0000 0.0000 0.0000
H1 0.0000 0.0000 0.5000
```

## NaGaH3 (PBE)

Data for a relaxed structure of NaGaH3.

## Properties
The distance to the lowest polymorph of the same formula is 0.000 eV/atom. The value obtained for the total magnetic moment is 0.00 μB per cell. For the density of states at the Fermi level, the calculation gives 0.0 states/eV/cell.

Structure (CIF):
```
data_NaGaH3
_cell_length_a 5.9148
_cell_length_b 4.9965
_cell_length_c 9.9767
_cell_angle_alpha 90.00
_cell_angle_beta 106.58
_cell_angle_gamma 90.00
_space_group_name_H-M_alt 'P 1 21/c 1'
_space_group_IT_number 14
_space_group_name_Hall '-P 2ybc'
loop_
_atom_site_label
_atom_site_fract_x
_atom_site_fract_y
_atom_site_fract_z
Na1 0.2066 0.1394 0.1756
Ga1 0.3401 0.6402 0.4269
H1 0.1548 0.0174 0.7990
H2 0.1619 0.7367 0.0071
H3 0.4360 0.6201 0.8494
```

## Na2GaH (PBE)

Data for a relaxed structure of Na2GaH.

## Properties
The distance to the lowest polymorph of the same formula is 0.350 eV/atom. The value obtained for the total magnetic moment is 0.00 μB per cell. For the density of states at the Fermi level, the calculation gives 10.0 states/eV/cell.

Structure (CIF):
```
data_Na2GaH
_cell_length_a 7.0101
_cell_length_b 7.0101
_cell_length_c 7.0101
_cell_angle_alpha 90.00
_cell_angle_beta 90.00
_cell_angle_gamma 90.00
_space_group_name_H-M_alt 'F m -3 m'
_space_group_IT_number 225
_space_group_name_Hall '-F 4 2 3'
loop_
_atom_site_label
_atom_site_fract_x
_atom_site_fract_y
_atom_site_fract_z
Na1 0.2500 0.2500 0.2500
Ga1 0.0000 0.0000 0.0000
H1 0.0000 0.0000 0.5000
```

## NaGaH (PBE)

Data for a relaxed structure of NaGaH.

## Properties
The distance to the lowest polymorph of the same formula is 0.077 eV/atom. The value obtained for the total magnetic moment is 0.00 μB per cell. For the density of states at the Fermi level, the calculation gives 1.4 states/eV/cell.

Structure (CIF):
```
data_NaGaH
_cell_length_a 3.4039
_cell_length_b 3.4756
_cell_length_c 11.4320
_cell_angle_alpha 83.88
_cell_angle_beta 84.73
_cell_angle_gamma 86.82
_space_group_name_H-M_alt 'P 1'
_space_group_IT_number 1
_space_group_name_Hall 'P 1'
loop_
_atom_site_label
_atom_site_fract_x
_atom_site_fract_y
_atom_site_fract_z
Na1 0.0000 0.0000 0.0000
Na2 0.3653 0.3442 0.4689
Ga1 0.4507 0.4436 0.1718
Ga2 0.9146 0.9017 0.2972
H1 0.6674 0.6471 0.7676
H2 0.7069 0.6862 0.7004
```

## NaGa2H8 (PBE)

Data for a relaxed structure of NaGa2H8.

## Properties
The distance to the lowest polymorph of the same formula is 0.000 eV/atom. The value obtained for the total magnetic moment is 0.00 μB per cell. For the density of states at the Fermi level, the calculation gives 0.9 states/eV/cell.

Structure (CIF):
```
data_NaGa2H8
_cell_length_a 10.6518
_cell_length_b 7.6327
_cell_length_c 7.0862
_cell_angle_alpha 90.00
_cell_angle_beta 111.05
_cell_angle_gamma 90.00
_space_group_name_H-M_alt 'C 1 2/c 1'
_space_group_IT_number 15
_space_group_name_Hall '-C 2yc'
loop_
_atom_site_label
_atom_site_fract_x
_atom_site_fract_y
_atom_site_fract_z
Na1 0.0000 0.2392 0.2500
Ga1 0.2112 0.4971 0.1101
H1 0.1306 0.0068 0.8044
H2 0.1315 0.3176 0.0623
H3 0.1353 0.3198 0.5749
H4 0.1909 0.4992 0.8495
```

## Na2GaH (PBE)

Data for a relaxed structure of Na2GaH.

## Properties
The distance to the lowest polymorph of the same formula is 0.075 eV/atom. The value obtained for the total magnetic moment is 0.00 μB per cell. For the density of states at the Fermi level, the calculation gives 1.2 states/eV/cell.

Structure (CIF):
```
data_Na2GaH
_cell_length_a 6.5524
_cell_length_b 6.5524
_cell_length_c 8.1375
_cell_angle_alpha 90.00
_cell_angle_beta 90.00
_cell_angle_gamma 90.00
_space_group_name_H-M_alt 'I -4 2 d'
_space_group_IT_number 122
_space_group_name_Hall 'I -4 2bw'
loop_
_atom_site_label
_atom_site_fract_x
_atom_site_fract_y
_atom_site_fract_z
Na1 0.1302 0.7500 0.1250
Ga1 0.0000 0.0000 0.5000
H1 0.0000 0.0000 0.0000
```

V (computed, Å³ per atom): 11.38; 21.23; 19.62; 14.13; 21.53; 22.29; 12.22; 21.84
Electronic total energy (computed, eV per atom): -2.78; -2.04; -2.20; -3.01; -1.85; -2.56; -2.96; -2.13